1.
Below is a geometry-optimized ScTcTeN2 structure, with properties calculated at the PBE level.

The space group is P4/mmm (No. 123) and the conventional cell measures 3.946, 3.946 and 5.513 Å, with angles of 90.00, 90.00 and 90.00 degrees. Symmetry generates all atoms from Sc at (0.000, 0.000, 0.000), Tc at (0.500, 0.500, 0.500), Te at (0.500, 0.500, 0.000) and N at (0.000, 0.500, 0.500).

For the volume, the calculation gives 17.2 A^3/atom. Its calculated total energy is -7.097 eV per atom.


2.
Below is a geometry-optimized CrMo2Rh structure, with properties calculated at the PBE level.

The space group is Pmmm (No. 47) and the conventional cell measures 2.741, 3.856 and 5.525 Å, with angles of 90.00, 90.00 and 90.00 degrees. Symmetry generates all atoms from Cr at (0.000, 0.000, 0.000), Mo at (0.500, 0.500, 0.244) and Rh at (0.000, 0.000, 0.500).

For the volume, the calculation gives 14.6 A^3/atom. For the energy of formation from the pure elements, the calculation gives 131 meV per atom.


3.
Below is a geometry-optimized CaTa2Mn structure, with properties calculated at the PBE level.

The space group is R3m (No. 160, hexagonal axes) and the conventional cell measures 3.1026, 3.1026 and 27.8450 Å, with angles of 90.00, 90.00 and 120.00 degrees. Symmetry generates all atoms from Ca at (0.0000, 0.0000, 0.0000), Ta at (0.0000, 0.0000, 0.2309), Ta at (0.0000, 0.0000, 0.4819) and Mn at (0.0000, 0.0000, 0.7536).

For the volume, the calculation gives 19.3 A^3/atom. For the energy of formation from the pure elements, the calculation gives 589 meV per atom.


4.
Below is a geometry-optimized AcZn4Ga12 structure, with properties calculated at the PBE level.

The space group is Im-3 (No. 204) and the conventional cell measures 8.889, 8.889 and 8.889 Å, with angles of 90.00, 90.00 and 90.00 degrees. Symmetry generates all atoms from Ac at (0.000, 0.000, 0.000), Zn at (0.250, 0.250, 0.250) and Ga at (0.000, 0.357, 0.153).

For the volume, the calculation gives 20.7 A^3/atom. For the energy of formation from the pure elements, the calculation gives -31 meV per atom.


Copy entry 1 word for word.
Below is a geometry-optimized ScTcTeN2 structure, with properties calculated at the PBE level.

The space group is P4/mmm (No. 123) and the conventional cell measures 3.946, 3.946 and 5.513 Å, with angles of 90.00, 90.00 and 90.00 degrees. Symmetry generates all atoms from Sc at (0.000, 0.000, 0.000), Tc at (0.500, 0.500, 0.500), Te at (0.500, 0.500, 0.000) and N at (0.000, 0.500, 0.500).

For the volume, the calculation gives 17.2 A^3/atom. Its calculated total energy is -7.097 eV per atom.


volume of number 2 (CrMo2Rh)? 14.6 A^3/atom


Please write out number 4 again, unchanged.
Below is a geometry-optimized AcZn4Ga12 structure, with properties calculated at the PBE level.

The space group is Im-3 (No. 204) and the conventional cell measures 8.889, 8.889 and 8.889 Å, with angles of 90.00, 90.00 and 90.00 degrees. Symmetry generates all atoms from Ac at (0.000, 0.000, 0.000), Zn at (0.250, 0.250, 0.250) and Ga at (0.000, 0.357, 0.153).

For the volume, the calculation gives 20.7 A^3/atom. For the energy of formation from the pure elements, the calculation gives -31 meV per atom.